Here is an optimized crystal structure of YNiW2O8 from Alexandria. Energies are from PBE with a Hubbard U.

The total magnetization is 1.0 μB per formula unit. The value obtained for the total DFT energy (no corrections) is -7.382 eV per atom.

The structure in CIF format:
```
data_YNiW2O8
_chemical_formula_sum 'Y2 Ni2 W4 O16'
_symmetry_space_group_name_H-M 'P 1 2/c 1'
_symmetry_Int_Tables_number 13
_cell_length_a 5.092
_cell_length_b 6.023
_cell_length_c 11.092
_cell_angle_alpha 90.00
_cell_angle_beta 115.03
_cell_angle_gamma 90.00
loop_
_symmetry_equiv_pos_as_xyz
'x,y,z'
'-x,-y,-z'
'-x,y,-z+1/2'
'x,-y,z+1/2'
loop_
_atom_site_label
_atom_site_type_symbol
_atom_site_fract_x
_atom_site_fract_y
_atom_site_fract_z
Y1 Y 0.000 0.163 0.250
Ni1 Ni 0.500 0.206 0.750
W1 W 0.238 0.333 0.990
O1 O 0.163 0.408 0.608
O2 O 0.221 0.137 0.112
O3 O 0.269 0.143 0.866
O4 O 0.339 0.388 0.403
```